Record 1
! CuPd3S5 PBE-GGA relaxed; values from VASP
! **Final energy**: -4.280 eV per atom
! **Symmetry**: P6/mmm
! **Crystal system**: hexagonal
&SYSTEM
  ibrav = 0, nat = 9, ntyp = 3
/
ATOMIC_SPECIES
Cu 63.55 Cu.upf
Pd 106.42 Pd.upf
S 32.06 S.upf
ATOMIC_POSITIONS crystal
Cu 0.000 0.000 0.000
Pd 0.500 0.000 0.500
Pd 0.000 0.500 0.500
Pd 0.500 0.500 0.500
S 0.667 0.333 0.226
S 0.333 0.667 0.226
S 0.000 0.000 0.500
S 0.667 0.333 0.774
S 0.333 0.667 0.774
CELL_PARAMETERS angstrom
-5.103 -2.188 -3.252
3.348 -3.979 3.790
-3.019 1.202 3.929

=====

Record 2
! ErAgS2 PBE-GGA relaxed; values from VASP
! **Final energy**: -5.246 eV per atom
! **Symmetry**: P3m1
! **Crystal system**: trigonal
&SYSTEM
  ibrav = 0, nat = 4, ntyp = 3
/
ATOMIC_SPECIES
Ag 107.87 Ag.upf
Er 167.26 Er.upf
S 32.06 S.upf
ATOMIC_POSITIONS crystal
Ag 0.667 0.333 0.580
Er 0.333 0.667 0.001
S 0.667 0.333 0.206
S 0.000 0.000 0.770
CELL_PARAMETERS angstrom
4.019 0.000 0.000
-2.010 3.481 0.000
0.000 0.000 6.624

=====

Record 3
! LaMgBeAu PBE-GGA relaxed; values from VASP
! **Symmetry**: F-43m
! **Crystal system**: cubic
! **Polymorph energy (0 for the lowest one)**: 0.65 eV/f.u.
&SYSTEM
  ibrav = 0, nat = 4, ntyp = 4
/
ATOMIC_SPECIES
Au 196.97 Au.upf
Be 9.01 Be.upf
La 138.91 La.upf
Mg 24.30 Mg.upf
ATOMIC_POSITIONS crystal
Au 0.750 0.750 0.750
Be 0.000 0.000 0.000
La 0.500 0.500 0.500
Mg 0.250 0.250 0.250
CELL_PARAMETERS angstrom
0.000 3.477 3.477
3.477 0.000 3.477
3.477 3.477 0.000

=====

Record 4
! ZrNb PBE-GGA relaxed; values from VASP
! **Symmetry**: P2_1/m
! **Energy of formation**: 0.095 eV/atom
! **Crystal system**: monoclinic
&SYSTEM
  ibrav = 0, nat = 12, ntyp = 2
/
ATOMIC_SPECIES
Nb 92.91 Nb.upf
Zr 91.22 Zr.upf
ATOMIC_POSITIONS crystal
Nb 0.593 0.145 0.000
Nb 0.300 0.330 0.000
Nb 0.292 0.818 0.000
Nb 0.589 0.393 0.500
Nb 0.296 0.577 0.500
Nb 0.597 0.904 0.500
Zr 0.962 0.478 0.000
Zr 0.611 0.655 0.000
Zr 0.957 0.999 0.000
Zr 0.278 0.068 0.500
Zr 0.927 0.244 0.500
Zr 0.932 0.723 0.500
CELL_PARAMETERS angstrom
7.296 -1.662 0.000
0.032 6.799 0.000
0.000 0.000 4.935

=====

Record 5
! CsCdPO PBE-GGA relaxed; values from VASP
! **Symmetry**: P4/nmm
! **Crystal system**: tetragonal
! **Polymorph energy (0 for the lowest one)**: 2.73 eV/f.u.
&SYSTEM
  ibrav = 0, nat = 8, ntyp = 4
/
ATOMIC_SPECIES
Cd 112.41 Cd.upf
Cs 132.91 Cs.upf
O 16.00 O.upf
P 30.97 P.upf
ATOMIC_POSITIONS crystal
Cd 0.000 0.500 0.038
Cd 0.500 0.000 0.962
Cs 0.000 0.000 0.500
Cs 0.500 0.500 0.500
O 0.000 0.000 0.000
O 0.500 0.500 0.000
P 0.000 0.500 0.282
P 0.500 0.000 0.718
CELL_PARAMETERS angstrom
4.704 0.000 0.000
0.000 4.704 0.000
0.000 0.000 10.531

=====

Record 6
! ZnCdTeO PBE-GGA relaxed; values from VASP
! **Symmetry**: Pnma
! **Crystal system**: orthorhombic
! **Polymorph energy (0 for the lowest one)**: 0.19 eV/f.u.
&SYSTEM
  ibrav = 0, nat = 16, ntyp = 4
/
ATOMIC_SPECIES
Cd 112.41 Cd.upf
O 16.00 O.upf
Te 127.60 Te.upf
Zn 65.41 Zn.upf
ATOMIC_POSITIONS crystal
Cd 0.759 0.500 0.094
Cd 0.259 0.500 0.406
Cd 0.741 0.000 0.594
Cd 0.241 0.000 0.906
O 0.706 0.000 0.180
O 0.206 0.000 0.320
O 0.794 0.500 0.680
O 0.294 0.500 0.820
Te 0.240 0.500 0.084
Te 0.740 0.500 0.416
Te 0.260 0.000 0.584
Te 0.760 0.000 0.916
Zn 0.381 0.000 0.202
Zn 0.881 0.000 0.298
Zn 0.119 0.500 0.702
Zn 0.619 0.500 0.798
CELL_PARAMETERS angstrom
-0.500 -3.888 4.520
-0.034 -3.017 -2.598
13.638 -0.834 0.791

=====

Record 7
! TbGdNO PBE-GGA relaxed; values from VASP
! **Symmetry**: P4/nmm
! **Crystal system**: tetragonal
! **Polymorph energy (0 for the lowest one)**: 1.99 eV/f.u.
&SYSTEM
  ibrav = 0, nat = 8, ntyp = 4
/
ATOMIC_SPECIES
Gd 157.25 Gd.upf
N 14.01 N.upf
O 16.00 O.upf
Tb 158.93 Tb.upf
ATOMIC_POSITIONS crystal
Gd 0.000 0.000 0.500
Gd 0.500 0.500 0.500
N 0.500 0.000 0.370
N 0.000 0.500 0.630
O 0.000 0.000 0.000
O 0.500 0.500 0.000
Tb 0.000 0.500 0.105
Tb 0.500 0.000 0.895
CELL_PARAMETERS angstrom
-3.571 -0.311 -2.312
1.840 -2.974 -2.442
-2.676 -5.677 4.897

=====

Record 8
! YPaAu PBE-GGA relaxed; values from VASP
! **Symmetry**: F-43m
! **Energy of formation**: 0.096 eV/atom
! **Crystal system**: cubic
! **Polymorph energy (0 for the lowest one)**: 0.00 eV/f.u.
&SYSTEM
  ibrav = 0, nat = 3, ntyp = 3
/
ATOMIC_SPECIES
Au 196.97 Au.upf
Pa 231.04 Pa.upf
Y 88.91 Y.upf
ATOMIC_POSITIONS crystal
Au 0.000 0.000 0.000
Pa 0.250 0.250 0.250
Y 0.750 0.750 0.750
CELL_PARAMETERS angstrom
1.300 -4.557 -1.501
-0.934 -3.931 2.895
-3.499 -3.277 -1.312

=====

Record 9
! Th2HgAu3 PBE-GGA relaxed; values from VASP
! **Symmetry**: Fmmm
! **Energy of formation**: -0.614 eV/atom
! **Crystal system**: orthorhombic
&SYSTEM
  ibrav = 0, nat = 12, ntyp = 3
/
ATOMIC_SPECIES
Au 196.97 Au.upf
Hg 200.59 Hg.upf
Th 232.04 Th.upf
ATOMIC_POSITIONS crystal
Au 0.834 0.834 0.166
Au 0.333 0.834 0.166
Au 0.166 0.667 0.333
Au 0.834 0.333 0.667
Au 0.667 0.166 0.834
Au 0.166 0.166 0.834
Hg 0.666 0.666 0.334
Hg 0.334 0.334 0.666
Th 0.756 0.244 0.244
Th 0.250 0.250 0.250
Th 0.750 0.750 0.750
Th 0.244 0.756 0.756
CELL_PARAMETERS angstrom
-6.329 4.195 6.189
-8.359 3.626 0.608
-2.769 -3.822 3.649

=====

Record 10
! HgPdPb PBE-GGA relaxed; values from VASP
! **Final energy**: -3.212 eV per atom
! **Symmetry**: F-43m
! **Crystal system**: cubic
&SYSTEM
  ibrav = 0, nat = 3, ntyp = 3
/
ATOMIC_SPECIES
Hg 200.59 Hg.upf
Pb 207.20 Pb.upf
Pd 106.42 Pd.upf
ATOMIC_POSITIONS crystal
Hg 0.250 0.250 0.250
Pb 0.750 0.750 0.750
Pd 0.000 0.000 0.000
CELL_PARAMETERS angstrom
0.483 0.490 4.654
-3.352 -1.589 2.893
0.810 -3.772 2.691

=====

Record 11
! SmInNiSe3 PBE-GGA relaxed; values from VASP
! **Final energy**: -4.785 eV per atom
! **Symmetry**: Cmcm
! **Crystal system**: orthorhombic
&SYSTEM
  ibrav = 0, nat = 12, ntyp = 4
/
ATOMIC_SPECIES
In 114.82 In.upf
Ni 58.69 Ni.upf
Se 78.96 Se.upf
Sm 150.36 Sm.upf
ATOMIC_POSITIONS crystal
In 0.246 0.508 0.250
In 0.754 0.492 0.750
Ni 0.524 0.952 0.250
Ni 0.476 0.048 0.750
Se 0.639 0.722 0.084
Se 0.921 0.158 0.250
Se 0.639 0.722 0.416
Se 0.361 0.278 0.584
Se 0.079 0.842 0.750
Se 0.361 0.278 0.916
Sm 0.000 0.000 0.000
Sm 0.000 0.000 0.500
CELL_PARAMETERS angstrom
-3.771 0.048 -0.927
-3.474 -2.706 5.860
-0.872 9.915 4.061

=====

Record 12
! YNi2Pt2 PBE-GGA relaxed; values from VASP
! **Symmetry**: I4/mmm
! **Energy of formation**: -0.456 eV/atom
! **Crystal system**: tetragonal
&SYSTEM
  ibrav = 0, nat = 5, ntyp = 3
/
ATOMIC_SPECIES
Ni 58.69 Ni.upf
Pt 195.08 Pt.upf
Y 88.91 Y.upf
ATOMIC_POSITIONS crystal
Ni 0.397 0.397 0.000
Ni 0.603 0.603 0.000
Pt 0.750 0.250 0.500
Pt 0.250 0.750 0.500
Y 0.000 0.000 0.000
CELL_PARAMETERS angstrom
-1.975 1.975 5.329
1.975 -1.975 5.329
1.975 1.975 -5.329

=====

Record 13
! Ga3IrAu PBE-GGA relaxed; values from VASP
! **Final energy**: -4.311 eV per atom
! **Symmetry**: Cmmm
! **Crystal system**: orthorhombic
&SYSTEM
  ibrav = 0, nat = 10, ntyp = 3
/
ATOMIC_SPECIES
Au 196.97 Au.upf
Ga 69.72 Ga.upf
Ir 192.22 Ir.upf
ATOMIC_POSITIONS crystal
Au 0.000 0.155 0.155
Au 0.000 0.848 0.848
Ga 0.500 0.055 0.055
Ga 0.500 0.286 0.286
Ga 0.000 0.449 0.449
Ga 0.000 0.554 0.554
Ga 0.500 0.718 0.718
Ga 0.500 0.948 0.948
Ir 0.500 0.387 0.387
Ir 0.500 0.617 0.617
CELL_PARAMETERS angstrom
3.894 0.000 0.000
0.000 1.991 12.086
0.000 -1.991 12.086

=====

Record 14
! PrSi2 PBE-GGA relaxed; values from VASP
! **Final energy**: -5.808 eV per atom
! **Symmetry**: I4_1/amd
! **Crystal system**: tetragonal
&SYSTEM
  ibrav = 0, nat = 6, ntyp = 2
/
ATOMIC_SPECIES
Pr 140.91 Pr.upf
Si 28.09 Si.upf
ATOMIC_POSITIONS crystal
Pr 0.000 0.000 0.000
Pr 0.250 0.750 0.500
Si 0.585 0.585 0.169
Si 0.665 0.165 0.331
Si 0.835 0.335 0.669
Si 0.415 0.415 0.831
CELL_PARAMETERS angstrom
4.255 0.000 0.000
0.000 4.255 0.000
-2.128 -2.128 6.987

=====

Record 15
! DyTm2In3CuAu2 PBE-GGA relaxed; values from VASP
! **Final energy**: -4.217 eV per atom
! **Symmetry**: Amm2
! **Crystal system**: orthorhombic
&SYSTEM
  ibrav = 0, nat = 9, ntyp = 5
/
ATOMIC_SPECIES
Au 196.97 Au.upf
Cu 63.55 Cu.upf
Dy 162.50 Dy.upf
In 114.82 In.upf
Tm 168.93 Tm.upf
ATOMIC_POSITIONS crystal
Au 0.500 0.669 0.332
Au 0.500 0.332 0.669
Cu 0.000 0.999 0.999
Dy 0.000 0.403 0.403
In 0.500 0.999 0.252
In 0.500 0.748 0.748
In 0.500 0.252 0.999
Tm 0.000 0.598 0.000
Tm 0.000 0.000 0.598
CELL_PARAMETERS angstrom
-1.411 1.109 -3.382
3.333 -6.121 -3.398
-7.201 -0.550 2.823

=====

Record 16
! PmMgPO PBE-GGA relaxed; values from VASP
! **Symmetry**: Pmc2_1
! **Crystal system**: orthorhombic
! **Polymorph energy (0 for the lowest one)**: 0.49 eV/f.u.
&SYSTEM
  ibrav = 0, nat = 8, ntyp = 4
/
ATOMIC_SPECIES
Mg 24.30 Mg.upf
O 16.00 O.upf
P 30.97 P.upf
Pm 145.00 Pm.upf
ATOMIC_POSITIONS crystal
Mg 0.000 0.195 0.442
Mg 0.000 0.805 0.942
O 0.500 0.200 0.434
O 0.500 0.800 0.934
P 0.000 0.695 0.287
P 0.000 0.305 0.787
Pm 0.500 0.302 0.092
Pm 0.500 0.698 0.592
CELL_PARAMETERS angstrom
4.373 0.000 0.000
0.000 4.434 0.000
0.000 0.000 7.006

=====

Record 17
! Sc2In2Hg PBE-GGA relaxed; values from VASP
! **Symmetry**: I4/mmm
! **Crystal system**: tetragonal
! **Polymorph energy (0 for the lowest one)**: 0.00 eV/f.u.
&SYSTEM
  ibrav = 0, nat = 5, ntyp = 3
/
ATOMIC_SPECIES
Hg 200.59 Hg.upf
In 114.82 In.upf
Sc 44.96 Sc.upf
ATOMIC_POSITIONS crystal
Hg 0.000 0.000 0.000
In 0.750 0.250 0.500
In 0.250 0.750 0.500
Sc 0.406 0.406 0.000
Sc 0.594 0.594 0.000
CELL_PARAMETERS angstrom
2.278 6.633 2.103
-2.307 4.547 5.254
1.904 -6.846 -1.761

=====

Record 18
! HfBeZnFe PBE-GGA relaxed; values from VASP
! **Symmetry**: F-43m
! **Crystal system**: cubic
! **Polymorph energy (0 for the lowest one)**: 0.05 eV/f.u.
&SYSTEM
  ibrav = 0, nat = 4, ntyp = 4
/
ATOMIC_SPECIES
Be 9.01 Be.upf
Fe 55.84 Fe.upf
Hf 178.49 Hf.upf
Zn 65.41 Zn.upf
ATOMIC_POSITIONS crystal
Be 0.250 0.250 0.250
Fe 0.750 0.750 0.750
Hf 0.500 0.500 0.500
Zn 0.000 0.000 0.000
CELL_PARAMETERS angstrom
0.000 2.999 2.999
2.999 0.000 2.999
2.999 2.999 0.000

=====

Record 19
! B6IrOsPb PBE-GGA relaxed; values from VASP
! **Final energy**: -4.731 eV per atom
! **Symmetry**: F-43m
! **Crystal system**: cubic
&SYSTEM
  ibrav = 0, nat = 9, ntyp = 4
/
ATOMIC_SPECIES
B 10.81 B.upf
Ir 192.22 Ir.upf
Os 190.23 Os.upf
Pb 207.20 Pb.upf
ATOMIC_POSITIONS crystal
B 0.983 0.517 0.517
B 0.517 0.983 0.517
B 0.983 0.983 0.517
B 0.517 0.517 0.983
B 0.983 0.517 0.983
B 0.517 0.983 0.983
Ir 0.750 0.750 0.750
Os 0.000 0.000 0.000
Pb 0.250 0.250 0.250
CELL_PARAMETERS angstrom
-3.758 -4.607 -1.419
-5.592 -0.249 2.455
-4.916 1.028 -3.484

=====

Record 20
! Hg2GeS3 PBE-GGA relaxed; values from VASP
! **Final energy**: -2.920 eV per atom
! **Symmetry**: Cmcm
! **Crystal system**: orthorhombic
&SYSTEM
  ibrav = 0, nat = 12, ntyp = 3
/
ATOMIC_SPECIES
Ge 72.64 Ge.upf
Hg 200.59 Hg.upf
S 32.06 S.upf
ATOMIC_POSITIONS crystal
Ge 0.671 0.671 0.250
Ge 0.329 0.329 0.750
Hg 0.000 0.000 0.000
Hg 0.345 0.345 0.250
Hg 0.000 0.000 0.500
Hg 0.655 0.655 0.750
S 0.374 0.374 0.022
S 0.071 0.071 0.250
S 0.374 0.374 0.478
S 0.626 0.626 0.522
S 0.929 0.929 0.750
S 0.626 0.626 0.978
CELL_PARAMETERS angstrom
7.582 -1.906 0.000
7.582 1.906 0.000
0.000 0.000 10.340